# Pr2NdEr

Crystalline Pr2NdEr at its relaxed geometry (PBE, the Alexandria database).

abc: 5.150 5.172 5.172
angles: 90.00 90.00 90.00
Atoms (fractional coordinates):
Pr 0.000 0.000 0.500
Pr 0.000 0.500 0.000
Nd 0.500 0.000 0.000
Er 0.500 0.500 0.500

* formation energy: 1.4 kJ per mole of atoms
* mass density: 7.2 g/cm³
* crystal system: tetragonal
* excess energy over the best structure of this formula in the dataset: 0 meV per atom
* VASP energy: -4.708 eV per atom
* calculated volume: 34.439 Å³/atom

=====

# PrNdEr2

Crystalline PrNdEr2 at its relaxed geometry (PBE, the Alexandria database).

abc: 3.623 3.623 10.062
angles: 90.00 90.00 90.00
Atoms (fractional coordinates):
Pr 0.500 0.500 0.500
Nd 0.500 0.500 0.000
Er 0.000 0.000 0.751
Er 0.000 0.000 0.249

* formation energy: 2.2 kJ per mole of atoms
* mass density: 7.8 g/cm³
* crystal system: tetragonal
* excess energy over the best structure of this formula in the dataset: 8 meV per atom
* VASP energy: -4.646 eV per atom
* calculated volume: 33.018 Å³/atom

=====

# PrNdEr

Crystalline PrNdEr at its relaxed geometry (PBE, the Alexandria database).

abc: 3.646 3.646 8.110
angles: 102.99 102.99 90.00
Atoms (fractional coordinates):
Pr 0.331 0.331 0.662
Nd 0.003 0.003 0.005
Er 0.666 0.666 0.332

* formation energy: 2.5 kJ per mole of atoms
* mass density: 7.3 g/cm³
* crystal system: tetragonal
* excess energy over the best structure of this formula in the dataset: 0 meV per atom
* VASP energy: -4.677 eV per atom
* calculated volume: 34.077 Å³/atom

=====

# Pr3Nd2Er7

Crystalline Pr3Nd2Er7 at its relaxed geometry (PBE, the Alexandria database).

abc: 3.546 6.373 18.058
angles: 75.76 90.00 90.00
Atoms (fractional coordinates):
Pr 0.500 0.500 0.000
Pr 0.000 0.115 0.341
Pr 0.000 0.885 0.659
Nd 0.500 0.621 0.326
Nd 0.500 0.379 0.674
Er 0.500 0.247 0.499
Er 0.500 0.753 0.501
Er 0.000 0.565 0.163
Er 0.000 0.000 0.000
Er 0.000 0.435 0.837
Er 0.500 0.940 0.836
Er 0.500 0.060 0.164

* formation energy: 8.8 kJ per mole of atoms
* mass density: 7.9 g/cm³
* crystal system: monoclinic
* excess energy over the best structure of this formula in the dataset: 4 meV per atom
* VASP energy: -4.560 eV per atom
* calculated volume: 32.962 Å³/atom

=====

# Pr12Nd7Er

Crystalline Pr12Nd7Er at its relaxed geometry (PBE, the Alexandria database).

abc: 8.975 8.975 8.975
angles: 88.12 88.12 88.12
Atoms (fractional coordinates):
Pr 0.856 0.254 0.726
Pr 0.746 0.274 0.144
Pr 0.612 0.139 0.491
Pr 0.861 0.509 0.388
Pr 0.274 0.144 0.746
Pr 0.509 0.388 0.861
Pr 0.491 0.612 0.139
Pr 0.726 0.856 0.254
Pr 0.139 0.491 0.612
Pr 0.388 0.861 0.509
Pr 0.254 0.726 0.856
Pr 0.144 0.746 0.274
Nd 0.854 0.609 0.925
Nd 0.391 0.075 0.146
Nd 0.075 0.146 0.391
Nd 0.500 0.500 0.500
Nd 0.925 0.854 0.609
Nd 0.609 0.925 0.854
Nd 0.146 0.391 0.075
Er 0.000 0.000 0.000

* formation energy: 20.3 kJ per mole of atoms
* mass density: 6.6 g/cm³
* crystal system: trigonal
* excess energy over the best structure of this formula in the dataset: 2 meV per atom
* VASP energy: -4.554 eV per atom
* calculated volume: 36.091 Å³/atom

=====

# Pr4Nd3Er2

Crystalline Pr4Nd3Er2 at its relaxed geometry (PBE, the Alexandria database).

abc: 6.328 6.332 13.170
angles: 118.57 103.87 120.06
Atoms (fractional coordinates):
Pr 0.666 0.330 0.000
Pr 0.334 0.670 0.000
Pr 0.889 0.777 0.665
Pr 0.111 0.223 0.335
Nd 0.553 0.109 0.665
Nd 0.000 0.000 0.000
Nd 0.447 0.891 0.335
Er 0.781 0.560 0.336
Er 0.219 0.440 0.664

* formation energy: 1.5 kJ per mole of atoms
* mass density: 7.1 g/cm³
* crystal system: triclinic
* excess energy over the best structure of this formula in the dataset: 0 meV per atom
* VASP energy: -4.712 eV per atom
* calculated volume: 34.589 Å³/atom

=====

Q: Which formula does entry 1 have?
A: Pr2NdEr

=====

Q: What is the formula in the third record?
A: PrNdEr

=====

Q: Look up the VASP energy of the fifth one.
A: -4.554 eV per atom